Record 1
Density functional theory data (PBE) for crystalline LaGa2PtAu at its relaxed geometry.

abc: 5.822 5.822 5.417
angles: 90.00 90.00 90.00
Element x y z (fractional)
La: 0.000 0.000 0.000
Ga: 0.000 0.500 0.000
Ga: 0.500 0.000 0.000
Pt: 0.500 0.500 0.500
Au: 0.000 0.000 0.500

Computed properties:
Polymorph energy (0 for the lowest one) in meV/atom: 1903
Magnetic moment in μB per atom: 0.00
Space-group type: P4/mmm (123)
Crystal system: tetragonal
DFT total energy in eV for the cell shown: -14.6

---

Record 2
Density functional theory data (PBE) for crystalline PaRh2Au at its relaxed geometry.

abc: 4.292 4.292 3.847
angles: 90.00 90.00 90.00
Element x y z (fractional)
Pa: 0.000 0.000 0.000
Rh: 0.000 0.500 0.500
Rh: 0.500 0.000 0.500
Au: 0.500 0.500 0.000

Computed properties:
Magnetic moment in μB per atom: 0.00
Space-group type: P4/mmm (123)
Crystal system: tetragonal
DFT total energy in eV for the cell shown: -30.7